# NdPuHgSb

A geometry-optimized NdPuHgSb structure (PBE, Alexandria).

The structure belongs to space group F-43m (No. 216); the cell edges are 7.640, 7.640 and 7.640 Å and the angles 90.00°, 90.00° and 90.00°. The distinct sites, in fractional coordinates, are Nd at (0.000, 0.000, 0.000), Pu at (0.000, 0.000, 0.500), Hg at (0.250, 0.250, 0.250) and Sb at (0.250, 0.250, 0.750).

Its calculated total energy is -6.383 eV/atom. The value obtained for the size of the total moment is 6.86 μB per formula unit.